4
Lattice="-3.6494 0.1220 -0.2697 -0.2592 -2.9288 2.1819 -0.2314 3.5499 4.7376" Properties=species:S:1:pos:R:3 comment="MgMnIn2 GGA-PBEsol optimized geometry" spacegroup="No. 99" e_form_ev_per_atom=0.204 volume_a3_per_atom=19.9 total_energy_ev_per_cell=-16.627 n_ef_per_ev_atom=0.637 m_tot_mub_per_cell=3.25 pbc="T T T"
In -0.2259 3.4666 4.6264
Mg -0.1180 1.8099 2.4154
Mn -2.1289 1.2756 4.5314
In -2.0142 -0.4840 2.1831

5
Lattice="5.1732 0.0000 0.0000 0.0000 5.1732 0.0000 0.0000 0.0000 5.1732" Properties=species:S:1:pos:R:3 comment="Al3SnO GGA-PBEsol optimized geometry" spacegroup="No. 221" raw_formation_energy_ev_per_atom=1.214 volume_a3_per_atom=27.7 total_energy_ev_per_cell=-15.714 n_ef_per_ev_atom=0.670 m_tot_mub_per_cell=0.00 pbc="T T T"
O 2.5866 2.5866 2.5866
Al 0.0000 0.0000 2.5866
Al 2.5866 0.0000 0.0000
Al 0.0000 2.5866 0.0000
Sn 0.0000 0.0000 0.0000